No. 1
Entry from the Alexandria database: a geometry-optimized PmGaN2 structure (PBE).

Lattice parameters (Å, degrees): 3.8014 3.8014 17.6184 90.00 90.00 120.00
Space group R-3m (No. 166, hexagonal axes)
One atom of each set of equivalent atoms:
Pm 0.0000 0.0000 0.0000 x3
Ga 0.0000 0.0000 0.5000 x3
N 0.0000 0.0000 0.4003 x6

Raw total energy, Ry/atom: -0.4971

***

No. 2
Entry from the Alexandria database: a geometry-optimized Pm3Ga2N structure (PBE).

Lattice parameters (Å, degrees): 14.049 5.672 7.293 90.00 105.04 90.00
Space group C2/c (No. 15)
One atom of each set of equivalent atoms:
Pm 0.000 0.001 0.250 x4
Pm 0.124 0.500 0.062 x8
Ga 0.190 0.000 0.095 x8
N 0.000 0.499 0.250 x4

Raw total energy, Ry/atom: -0.3993

***

No. 3
Entry from the Alexandria database: a geometry-optimized PmGaN structure (PBE).

Lattice parameters (Å, degrees): 4.204 4.204 7.083 90.00 90.00 90.00
Space group I4mm (No. 107)
One atom of each set of equivalent atoms:
Pm 0.000 0.000 0.000 x2
Ga 0.000 0.000 0.411 x2
N 0.000 0.000 0.670 x2

Raw total energy, Ry/atom: -0.4007

***

No. 4
Entry from the Alexandria database: a geometry-optimized PmGaN structure (PBE).

Lattice parameters (Å, degrees): 3.698 3.698 7.424 90.00 90.00 90.00
Space group P4/nmm (No. 129, origin choice 2)
One atom of each set of equivalent atoms:
Pm 0.250 0.250 0.162 x2
Ga 0.250 0.250 0.568 x2
N 0.250 0.250 0.836 x2

Raw total energy, Ry/atom: -0.4631

***

No. 5
Entry from the Alexandria database: a geometry-optimized Pm7Ga2N2 structure (PBE).

Lattice parameters (Å, degrees): 11.163 7.458 6.558 90.00 96.99 90.00
Space group C2/m (No. 12)
One atom of each set of equivalent atoms:
Pm 0.000 0.000 0.000 x2
Pm 0.057 0.500 0.777 x4
Pm 0.227 0.279 0.235 x8
Ga 0.000 0.167 0.500 x4
N 0.229 0.000 0.029 x4

Raw total energy, Ry/atom: -0.4148

***

No. 6
Entry from the Alexandria database: a geometry-optimized Pm5Ga2N structure (PBE).

Lattice parameters (Å, degrees): 5.686 14.275 11.341 90.00 90.00 90.00
Space group Cmcm (No. 63)
One atom of each set of equivalent atoms:
Pm 0.000 0.070 0.106 x8
Pm 0.000 0.307 0.092 x8
Pm 0.000 0.332 0.750 x4
Ga 0.000 0.143 0.637 x8
N 0.000 0.186 0.250 x4

Raw total energy, Ry/atom: -0.3751

***

No. 7
Entry from the Alexandria database: a geometry-optimized Pm7Ga3N2 structure (PBE).

Lattice parameters (Å, degrees): 4.890 4.890 25.075 90.00 90.00 90.00
Space group I4/mmm (No. 139)
One atom of each set of equivalent atoms:
Pm 0.000 0.000 0.000 x2
Pm 0.000 0.000 0.202 x4
Pm 0.000 0.500 0.098 x8
Ga 0.000 0.000 0.324 x4
Ga 0.000 0.000 0.500 x2
N 0.000 0.000 0.101 x4

Raw total energy, Ry/atom: -0.4178

***

No. 8
Entry from the Alexandria database: a geometry-optimized PmGaRhN structure (PBE).

Lattice parameters (Å, degrees): 3.886 3.886 8.964 90.00 90.00 90.00
Space group P4/nmm (No. 129, origin choice 2)
One atom of each set of equivalent atoms:
Pm 0.250 0.250 0.141 x2
Ga 0.250 0.250 0.668 x2
Rh 0.250 0.750 0.500 x2
N 0.250 0.250 0.884 x2

Raw total energy, Ry/atom: -0.4930

***

No. 9
Entry from the Alexandria database: a geometry-optimized Pm4GaSiN structure (PBE).

Lattice parameters (Å, degrees): 6.762 15.623 6.763 90.00 90.00 90.00
Space group Cmcm (No. 63)
One atom of each set of equivalent atoms:
Pm 0.000 0.078 0.250 x4
Pm 0.000 0.420 0.250 x4
Pm 0.250 0.250 0.000 x8
Ga 0.000 0.386 0.750 x4
Si 0.000 0.114 0.750 x4
N 0.000 0.252 0.250 x4

Raw total energy, Ry/atom: -0.4295

***

No. 10
Entry from the Alexandria database: a geometry-optimized PmSmGaN3 structure (PBE).

Lattice parameters (Å, degrees): 7.354 3.508 7.675 90.00 96.32 90.00
Space group P2_1/m (No. 11)
One atom of each set of equivalent atoms:
Pm 0.165 0.250 0.170 x2
Sm 0.367 0.750 0.832 x2
Ga 0.097 0.250 0.605 x2
N 0.119 0.250 0.858 x2
N 0.166 0.750 0.506 x2
N 0.391 0.750 0.138 x2

Raw total energy, Ry/atom: -0.5265

***

No. 11
Entry from the Alexandria database: a geometry-optimized PmSm2GaN structure (PBE).

Lattice parameters (Å, degrees): 4.896 4.896 4.926 90.00 90.00 90.00
Space group P4/mmm (No. 123)
One atom of each set of equivalent atoms:
Pm 0.000 0.000 0.000 x1
Sm 0.000 0.500 0.500 x2
Ga 0.500 0.500 0.000 x1
N 0.000 0.000 0.500 x1

Raw total energy, Ry/atom: -0.4390

***

No. 12
Entry from the Alexandria database: a geometry-optimized Pm2SmGaN4 structure (PBE).

Lattice parameters (Å, degrees): 3.483 11.744 12.116 90.00 90.00 90.00
Space group Cmcm (No. 63)
One atom of each set of equivalent atoms:
Pm 0.000 0.131 0.044 x8
Sm 0.000 0.390 0.250 x4
Ga 0.000 0.339 0.750 x4
N 0.000 0.059 0.250 x4
N 0.000 0.229 0.630 x8
N 0.000 0.500 0.000 x4

Raw total energy, Ry/atom: -0.5419

***

Number 1: total magnetization 0.00 μB/cell. Number 2: total magnetization 0.00 μB/cell. Number 3: total magnetization 0.00 μB/cell. Number 4: total magnetization 0.00 μB/cell. Number 5: total magnetization 0.00 μB/cell. Number 6: total magnetization 0.00 μB/cell. Number 7: total magnetization 0.00 μB/cell. Number 8: total magnetization 0.00 μB/cell. Number 9: total magnetization 0.00 μB/cell. Number 10: total magnetization 0.00 μB/cell. Number 11: total magnetization 0.00 μB/cell. Number 12: total magnetization 0.00 μB/cell.